DFT (PBE) results for a relaxed structure of Sc6Pd3O.

Results
- Symmetry: P2_1/c (14)
- Raw formation energy: -1048 meV per atom
- Volume: 379.4 Å³/cell

Cell lengths 6.064, 6.967, 9.060 Å; angles 90.00, 82.44, 90.00 degrees
Atoms (fractional coordinates):
Sc  0.687  0.158  0.954
Sc  0.630  0.199  0.564
Sc  0.650  0.462  0.261
Sc  0.350  0.538  0.739
Sc  0.370  0.801  0.436
Sc  0.313  0.842  0.046
Sc  0.187  0.342  0.454
Sc  0.130  0.301  0.064
Sc  0.150  0.038  0.761
Sc  0.850  0.962  0.239
Sc  0.870  0.699  0.936
Sc  0.813  0.658  0.546
Pd  0.574  0.894  0.749
Pd  0.500  0.500  0.000
Pd  0.426  0.106  0.251
Pd  0.074  0.606  0.249
Pd  0.000  0.000  0.500
Pd  0.926  0.394  0.751
O  0.500  0.500  0.500
O  0.000  0.000  0.000

=====

DFT (PBE) results for a relaxed structure of ScPdO2.

Results
- Symmetry: I-42d (122)
- Raw formation energy: -1812 meV per atom
- Volume: 119.4 Å³/cell

Cell lengths 4.951, 4.951, 5.998 Å; angles 65.62, 65.62, 90.00 degrees
Atoms (fractional coordinates):
Sc  0.500  0.500  0.000
Sc  0.250  0.750  0.500
O  0.575  0.125  0.250
O  0.175  0.625  0.250
O  0.375  0.425  0.750
O  0.875  0.825  0.750
Pd  0.000  0.000  0.000
Pd  0.750  0.250  0.500

=====

DFT (PBE) results for a relaxed structure of Sc2PdO.

Results
- Symmetry: C2/m (12)
- Raw formation energy: -1859 meV per atom
- Volume: 137.7 Å³/cell

Cell lengths 3.362, 6.559, 6.896 Å; angles 110.30, 104.11, 89.98 degrees
Atoms (fractional coordinates):
Sc  0.349  0.050  0.273
Sc  0.033  0.508  0.640
Sc  0.628  0.051  0.831
Sc  0.312  0.509  0.198
Pd  0.713  0.707  0.000
Pd  0.948  0.852  0.471
O  0.223  0.178  0.021
O  0.438  0.381  0.450

=====

DFT (PBE) results for a relaxed structure of Sc2PdO2.

Results
- Symmetry: I4/mmm (139)
- Raw formation energy: -2434 meV per atom
- Volume: 74.4 Å³/cell

Cell lengths 3.610, 3.610, 6.255 Å; angles 73.23, 73.23, 90.00 degrees
Atoms (fractional coordinates):
Sc  0.339  0.339  0.321
Sc  0.661  0.661  0.679
O  0.750  0.250  0.500
O  0.250  0.750  0.500
Pd  0.000  0.000  0.000

=====

DFT (PBE) results for a relaxed structure of ScPd2O4.

Results
- Symmetry: Imma (74)
- Raw formation energy: -1319 meV per atom
- Volume: 174.0 Å³/cell

Cell lengths 6.487, 6.154, 6.153 Å; angles 82.11, 58.20, 58.19 degrees
Atoms (fractional coordinates):
Sc  0.625  0.500  0.500
Sc  0.125  0.000  0.000
Pd  0.625  0.500  0.000
Pd  0.125  0.500  0.000
Pd  0.875  0.906  0.594
Pd  0.375  0.094  0.406
O  0.080  0.308  0.781
O  0.580  0.281  0.808
O  0.169  0.692  0.219
O  0.667  0.244  0.256
O  0.167  0.756  0.744
O  0.669  0.719  0.192
O  0.083  0.244  0.256
O  0.583  0.756  0.744

=====

DFT (PBE) results for a relaxed structure of ScPd3O6.

Results
- Symmetry: Cmmm (65)
- Raw formation energy: -1153 meV per atom
- Volume: 118.4 Å³/cell

Cell lengths 3.380, 6.101, 6.101 Å; angles 109.71, 90.00, 90.00 degrees
Atoms (fractional coordinates):
Sc  0.000  0.500  0.500
Pd  0.500  0.500  0.000
Pd  0.000  0.000  0.000
Pd  0.500  0.000  0.500
O  0.000  0.091  0.344
O  0.000  0.909  0.656
O  0.000  0.344  0.091
O  0.000  0.656  0.909
O  0.500  0.642  0.358
O  0.500  0.358  0.642

=====

DFT (PBE) results for a relaxed structure of Sc2PdO.

Results
- Symmetry: R-3m (166)
- Raw formation energy: -1484 meV per atom
- Volume: 90.9 Å³/cell

Cell lengths 7.071, 7.071, 7.071 Å; angles 32.53, 32.53, 32.53 degrees
Atoms (fractional coordinates):
Sc  0.906  0.906  0.906
Sc  0.094  0.094  0.094
O  0.000  0.000  0.000
Pd  0.500  0.500  0.500

=====

DFT (PBE) results for a relaxed structure of Sc4PdO2.

Results
- Symmetry: I4/mmm (139)
- Raw formation energy: -1105 meV per atom
- Volume: 141.9 Å³/cell

Cell lengths 4.939, 4.939, 6.787 Å; angles 68.66, 68.66, 90.00 degrees
Atoms (fractional coordinates):
Sc  0.757  0.757  0.487
Sc  0.243  0.243  0.513
Sc  0.000  0.500  0.000
Sc  0.500  0.000  0.000
O  0.599  0.599  0.802
O  0.401  0.401  0.198
Pd  0.000  0.000  0.000

=====

DFT (PBE) results for a relaxed structure of Sc2PdSeO.

Results
- Symmetry: P4/mmm (123)
- Raw formation energy: -160 meV per atom
- Volume: 113.7 Å³/cell

Cell lengths 5.004, 4.540, 5.004 Å; angles 90.00, 90.00, 90.00 degrees
Atoms (fractional coordinates):
Sc  0.000  0.000  0.500
Sc  0.500  0.000  0.000
O  0.500  0.500  0.500
Se  0.000  0.000  0.000
Pd  0.000  0.500  0.000

=====

DFT (PBE) results for a relaxed structure of Sm2ScPdO6.

Results
- Symmetry: P1 (1)
- Raw formation energy: -2617 meV per atom
- Volume: 134.7 Å³/cell

Cell lengths 5.731, 5.801, 5.720 Å; angles 61.40, 61.07, 58.02 degrees
Atoms (fractional coordinates):
Sm  0.545  0.536  0.386
Sm  0.038  0.041  0.892
Sc  0.812  0.811  0.564
Pd  0.317  0.318  0.049
O  0.594  0.179  0.267
O  0.163  0.941  0.280
O  0.962  0.592  0.270
O  0.470  0.690  0.750
O  0.671  0.096  0.773
O  0.089  0.458  0.783

=====

DFT (PBE) results for a relaxed structure of Sc4SnPdO.

Results
- Symmetry: Cmcm (63)
- Raw formation energy: -1282 meV per atom
- Volume: 272.1 Å³/cell

Cell lengths 6.125, 6.114, 7.885 Å; angles 90.00, 112.86, 90.00 degrees
Atoms (fractional coordinates):
Sc  0.911  0.250  0.822
Sc  0.436  0.750  0.873
Sc  0.089  0.750  0.178
Sc  0.564  0.250  0.127
Sc  0.500  0.500  0.500
Sc  0.000  0.000  0.500
Sc  0.500  0.000  0.500
Sc  0.000  0.500  0.500
Sn  0.109  0.250  0.217
Sn  0.891  0.750  0.783
Pd  0.619  0.750  0.237
Pd  0.381  0.250  0.763
O  0.245  0.750  0.490
O  0.755  0.250  0.510

=====

DFT (PBE) results for a relaxed structure of SrScPdO4.

Results
- Symmetry: Imma (74)
- Raw formation energy: -2160 meV per atom
- Volume: 194.9 Å³/cell

Cell lengths 7.352, 6.348, 6.769 Å; angles 122.22, 90.00, 125.39 degrees
Atoms (fractional coordinates):
Sr  0.918  0.835  0.168
Sr  0.082  0.165  0.832
Sc  0.500  0.000  0.500
Sc  0.500  0.000  0.000
Pd  0.500  0.500  0.500
Pd  0.000  0.500  0.500
O  0.768  0.535  0.707
O  0.310  0.987  0.244
O  0.677  0.987  0.244
O  0.768  0.535  0.328
O  0.232  0.465  0.672
O  0.690  0.013  0.756
O  0.323  0.013  0.756
O  0.232  0.465  0.293

=====

DFT (PBE) results for a relaxed structure of Tb2ScPdO6.

Results
- Symmetry: P1 (1)
- Raw formation energy: -2664 meV per atom
- Volume: 132.8 Å³/cell

Cell lengths 5.645, 5.711, 5.757 Å; angles 62.13, 61.71, 58.12 degrees
Atoms (fractional coordinates):
Tb  0.538  0.531  0.405
Tb  0.033  0.032  0.914
Sc  0.812  0.810  0.565
Pd  0.318  0.319  0.045
O  0.597  0.190  0.262
O  0.172  0.930  0.277
O  0.951  0.599  0.262
O  0.460  0.703  0.743
O  0.683  0.100  0.768
O  0.097  0.447  0.774

=====

DFT (PBE) results for a relaxed structure of Sc2TcPdO.

Results
- Symmetry: P4/mmm (123)
- Raw formation energy: -885 meV per atom
- Volume: 77.6 Å³/cell

Cell lengths 4.311, 4.176, 4.311 Å; angles 90.00, 90.00, 90.00 degrees
Atoms (fractional coordinates):
Sc  0.000  0.000  0.500
Sc  0.500  0.000  0.000
O  0.000  0.000  0.000
Tc  0.500  0.500  0.500
Pd  0.000  0.500  0.000

=====

DFT (PBE) results for a relaxed structure of ScTePdO6.

Results
- Symmetry: P4_2nm (102)
- Raw formation energy: -1468 meV per atom
- Volume: 220.1 Å³/cell

Cell lengths 4.846, 4.846, 9.372 Å; angles 90.00, 90.00, 90.00 degrees
Atoms (fractional coordinates):
Sc  0.500  0.500  0.173
Sc  0.000  0.000  0.673
Te  0.500  0.500  0.836
Te  0.000  0.000  0.336
Pd  0.500  0.500  0.500
Pd  0.000  0.000  0.000
O  0.187  0.813  0.490
O  0.813  0.187  0.490
O  0.313  0.313  0.990
O  0.687  0.687  0.990
O  0.186  0.814  0.173
O  0.814  0.186  0.173
O  0.314  0.314  0.673
O  0.686  0.686  0.673
O  0.794  0.206  0.832
O  0.206  0.794  0.832
O  0.706  0.706  0.332
O  0.294  0.294  0.332

=====

DFT (PBE) results for a relaxed structure of Sc4TlPdO.

Results
- Symmetry: Cmcm (63)
- Raw formation energy: -1140 meV per atom
- Volume: 273.6 Å³/cell

Cell lengths 6.155, 6.163, 7.842 Å; angles 90.00, 113.11, 90.00 degrees
Atoms (fractional coordinates):
Sc  0.938  0.250  0.877
Sc  0.413  0.750  0.827
Sc  0.062  0.750  0.123
Sc  0.587  0.250  0.173
Sc  0.500  0.500  0.500
Sc  0.000  0.000  0.500
Sc  0.500  0.000  0.500
Sc  0.000  0.500  0.500
Tl  0.610  0.750  0.220
Tl  0.390  0.250  0.780
Pd  0.120  0.250  0.239
Pd  0.880  0.750  0.761
O  0.255  0.750  0.511
O  0.745  0.250  0.489

=====

DFT (PBE) results for a relaxed structure of TmSc2PdO.

Results
- Symmetry: P4/mmm (123)
- Raw formation energy: -1510 meV per atom
- Volume: 88.4 Å³/cell

Cell lengths 4.330, 4.330, 4.712 Å; angles 90.00, 90.00, 90.00 degrees
Atoms (fractional coordinates):
Tm  0.000  0.000  0.500
Sc  0.000  0.500  0.000
Sc  0.500  0.000  0.000
Pd  0.500  0.500  0.500
O  0.000  0.000  0.000

=====

DFT (PBE) results for a relaxed structure of Tm2ScPdO6.

Results
- Symmetry: P1 (1)
- Raw formation energy: -2711 meV per atom
- Volume: 129.7 Å³/cell

Cell lengths 5.620, 5.443, 5.919 Å; angles 61.72, 59.88, 60.25 degrees
Atoms (fractional coordinates):
Tm  0.521  0.533  0.420
Tm  0.016  0.028  0.931
Sc  0.811  0.813  0.566
Pd  0.318  0.319  0.043
O  0.625  0.183  0.273
O  0.199  0.940  0.257
O  0.941  0.601  0.258
O  0.437  0.695  0.763
O  0.693  0.103  0.768
O  0.100  0.447  0.736

=====

DFT (PBE) results for a relaxed structure of ScUPdO6.

Results
- Symmetry: P-31c (163)
- Raw formation energy: -2355 meV per atom
- Volume: 232.2 Å³/cell

Cell lengths 5.307, 5.307, 9.522 Å; angles 90.00, 90.00, 120.00 degrees
Atoms (fractional coordinates):
Sc  0.000  0.000  0.000
Sc  0.000  0.000  0.500
U  0.667  0.333  0.250
U  0.333  0.667  0.750
Pd  0.333  0.667  0.250
Pd  0.667  0.333  0.750
O  0.670  0.665  0.129
O  0.996  0.330  0.129
O  0.330  0.996  0.629
O  0.004  0.670  0.871
O  0.335  0.330  0.371
O  0.996  0.665  0.371
O  0.665  0.996  0.871
O  0.670  0.004  0.371
O  0.004  0.335  0.629
O  0.335  0.004  0.129
O  0.665  0.670  0.629
O  0.330  0.335  0.871